Computed, not measured: crystalline SbAsI2O at its relaxed geometry at the PBE level of DFT.

## Properties
- E_tot (eV per formula unit) = -12.0
- uncorrected formation energy (meV per atom) = 958
- energy above the lowest structure with this stoichiometry (meV per atom) = 933
- calculated density (g/cm3) = 4.58
- total moment (μB/f.u.) = 0.00

Unit cell a=5.5224 b=5.5224 c=5.5499 alpha=90.00 beta=90.00 gamma=90.00
Closest atoms and distances in Å follow each position.
Fractional coordinates of all 5 atoms:
I1 0.5000 0.0000 0.0000  2 As 2.76
I2 0.0000 0.5000 0.0000  2 As 2.76
As1 0.0000 0.0000 0.0000  4 I 2.76, 2 Sb 2.77
O1 0.5000 0.5000 0.5000  4 Sb 3.90, 8 I 3.91
Sb1 0.0000 0.0000 0.5000  2 As 2.77

***

Computed, not measured: crystalline Li8TlPt2 at its relaxed geometry at the PBE level of DFT.

## Properties
- E_tot (eV per formula unit) = -32.8
- energy of formation from the pure elements (eV per atom) = -0.28
- energy above the lowest structure with this stoichiometry (meV per atom) = 0
- calculated density (g/cm3) = 6.27
- total moment (μB/f.u.) = 0.00

Unit cell a=4.5808 b=5.5005 c=7.7334 alpha=111.20 beta=107.66 gamma=88.85
Closest atoms and distances in Å follow each position.
Fractional coordinates of all 11 atoms:
Li1 0.2974 0.7974 0.5949  4 Li 2.47-2.69
Li2 0.8436 0.6103 0.6997  4 Li 2.47-2.71, 3 Pt 2.72-2.73
Li3 0.7026 0.2026 0.4051  4 Li 2.47-2.69
Li4 0.1439 0.9106 0.3003  4 Li 2.47-2.71, 3 Pt 2.72-2.73
Li5 0.2638 0.5279 0.0000  1 Li 2.18
Li6 0.1564 0.3897 0.3003  4 Li 2.47-2.71, 3 Pt 2.72-2.73
Li7 0.7362 0.4721 0.0000  1 Li 2.18
Li8 0.8561 0.0894 0.6997  4 Li 2.47-2.71, 3 Pt 2.72-2.73
Pt1 0.3250 0.3250 0.6501  12 Li 2.63-2.84
Pt2 0.6750 0.6750 0.3499  12 Li 2.63-2.84
Tl1 0.5000 0.0000 0.0000  6 Li 2.77-3.08

***

Computed, not measured: crystalline LaHoAgRh at its relaxed geometry at the PBE level of DFT.

## Properties
- E_tot (eV per formula unit) = -21.7
- energy of formation from the pure elements (eV per atom) = -0.49
- calculated density (g/cm3) = 9.08
- total moment (μB/f.u.) = 0.00

Unit cell a=5.1062 b=5.1062 c=5.1062 alpha=60.00 beta=60.00 gamma=60.00
Closest atoms and distances in Å follow each position.
Fractional coordinates of all 4 atoms:
Ho1 0.0000 0.0000 0.0000  4 Rh 3.13, 4 Ag 3.13
La1 0.5000 0.5000 0.5000  4 Ag 3.13, 4 Rh 3.13
Rh1 0.7500 0.7500 0.7500  4 La 3.13, 4 Ho 3.13
Ag1 0.2500 0.2500 0.2500  4 La 3.13, 4 Ho 3.13

***

Computed, not measured: crystalline BiCl4O2 at its relaxed geometry at the PBE level of DFT.

## Properties
- E_tot (eV per formula unit) = -19.5
- uncorrected formation energy (meV per atom) = 239
- calculated density (g/cm3) = 3.35
- total moment (μB/f.u.) = 5.00

Unit cell a=3.8748 b=7.2510 c=7.0674 alpha=83.67 beta=105.91 gamma=90.00
Closest atoms and distances in Å follow each position.
Fractional coordinates of all 7 atoms:
O1 0.2798 0.3590 0.5597  2 Cl 2.46
O2 0.7202 0.6410 0.4403  2 Cl 2.46
Bi1 0.0000 0.0000 0.0000  6 Cl 2.73-2.74
Cl1 0.6179 0.1243 0.2358  2 Bi 2.73
Cl2 0.8919 0.3426 0.7837  2 O 2.46, 1 Bi 2.74
Cl3 0.3821 0.8757 0.7642  2 Bi 2.73
Cl4 0.1081 0.6574 0.2163  2 O 2.46, 1 Bi 2.74

***

Computed, not measured: crystalline CoGe2Pd at its relaxed geometry at the PBE level of DFT.

## Properties
- E_tot (eV per formula unit) = -21.7
- energy of formation from the pure elements (eV per atom) = -0.05
- energy above the lowest structure with this stoichiometry (meV per atom) = 117
- calculated density (g/cm3) = 9.05
- total moment (μB/f.u.) = 0.00

Unit cell a=4.3199 b=4.3199 c=4.3199 alpha=60.00 beta=60.00 gamma=60.00
Closest atoms and distances in Å follow each position.
Fractional coordinates of all 4 atoms:
Ge1 0.7500 0.7500 0.7500  4 Pd 2.65, 4 Co 2.65
Ge2 0.2500 0.2500 0.2500  4 Pd 2.65, 4 Co 2.65
Co1 0.0000 0.0000 0.0000  8 Ge 2.65
Pd1 0.5000 0.5000 0.5000  8 Ge 2.65

***

Computed, not measured: crystalline Ta4ReAu at its relaxed geometry at the PBE level of DFT.

## Properties
- E_tot (eV per formula unit) = -60.6
- energy of formation from the pure elements (eV per atom) = 0.42
- calculated density (g/cm3) = 16.98
- total moment (μB/f.u.) = 0.00

Unit cell a=5.3498 b=5.3498 c=5.3498 alpha=60.00 beta=60.00 gamma=60.00
Closest atoms and distances in Å follow each position.
Fractional coordinates of all 6 atoms:
Ta1 0.3734 0.3734 0.3734  6 Ta 2.64-2.71
Ta2 0.8797 0.3734 0.3734  6 Ta 2.64-2.71
Ta3 0.3734 0.3734 0.8797  6 Ta 2.64-2.71
Ta4 0.3734 0.8797 0.3734  6 Ta 2.64-2.71
Au1 0.7500 0.7500 0.7500  12 Ta 3.14, 4 Re 3.28
Re1 0.0000 0.0000 0.0000  12 Ta 3.13, 4 Au 3.28

***

Computed, not measured: crystalline SmTm2Bi2 at its relaxed geometry at the PBE level of DFT.

## Properties
- E_tot (eV per formula unit) = -24.4
- energy of formation from the pure elements (eV per atom) = -0.60
- calculated density (g/cm3) = 9.99
- total moment (μB/f.u.) = 0.00

Unit cell a=4.9009 b=6.6961 c=9.5049 alpha=90.00 beta=104.94 gamma=90.00
Closest atoms and distances in Å follow each position.
Fractional coordinates of all 10 atoms:
Bi1 0.7859 0.6164 0.5719  3 Tm 3.15-3.19, 2 Sm 3.19
Bi2 0.4336 0.9837 0.8672  6 Tm 3.17-3.27, 2 Sm 3.33-3.41
Bi3 0.5664 0.4837 0.1328  6 Tm 3.17-3.27, 2 Sm 3.33-3.41
Bi4 0.2141 0.1164 0.4281  3 Tm 3.15-3.19, 2 Sm 3.19
Sm1 0.3810 0.4598 0.7620  4 Bi 3.19-3.41
Sm2 0.6190 0.9598 0.2380  4 Bi 3.19-3.41
Tm1 0.0127 0.2225 0.0255  4 Bi 3.17-3.27, 2 Tm 3.38
Tm2 0.1786 0.5832 0.3572  5 Bi 3.15-3.27
Tm3 0.8214 0.0832 0.6428  5 Bi 3.15-3.27
Tm4 0.9873 0.7225 0.9745  4 Bi 3.17-3.27, 2 Tm 3.38

***

Computed, not measured: crystalline NaLa2AuN at its relaxed geometry at the PBE level of DFT.

## Properties
- E_tot (eV per formula unit) = -26.1
- uncorrected formation energy (meV per atom) = -659
- calculated density (g/cm3) = 7.15
- total moment (μB/f.u.) = 0.00

Unit cell a=5.0169 b=5.0169 c=4.7254 alpha=90.00 beta=90.00 gamma=90.00
Closest atoms and distances in Å follow each position.
Fractional coordinates of all 5 atoms:
N1 0.0000 0.0000 0.0000  2 Na 2.36, 4 La 2.51
Au1 0.5000 0.5000 0.5000  8 La 3.45, 4 Na 3.55
La1 0.5000 0.0000 0.0000  2 N 2.51
La2 0.0000 0.5000 0.0000  2 N 2.51
Na1 0.0000 0.0000 0.5000  2 N 2.36

***

Computed, not measured: crystalline KZrTl at its relaxed geometry at the PBE level of DFT.

## Properties
- E_tot (eV per formula unit) = -11.2
- energy of formation from the pure elements (eV per atom) = 0.26
- energy above the lowest structure with this stoichiometry (meV per atom) = 232
- calculated density (g/cm3) = 5.45
- total moment (μB/f.u.) = 0.00

Unit cell a=7.3970 b=7.3970 c=5.6156 alpha=90.00 beta=90.00 gamma=138.42
Closest atoms and distances in Å follow each position.
Fractional coordinates of all 6 atoms:
Tl1 0.9383 0.0617 0.2500  4 Zr 3.10, 2 Tl 3.29
Tl2 0.0617 0.9383 0.7500  4 Zr 3.10, 2 Tl 3.29
K1 0.2204 0.7796 0.2500  3 Tl 3.56-3.90, 4 K 3.93
K2 0.7796 0.2204 0.7500  3 Tl 3.56-3.90, 4 K 3.93
Zr1 0.5000 0.5000 0.0000  2 Zr 2.81, 4 Tl 3.10
Zr2 0.5000 0.5000 0.5000  2 Zr 2.81, 4 Tl 3.10

***

Computed, not measured: crystalline CaScGaPb at its relaxed geometry at the PBE level of DFT.

## Properties
- E_tot (eV per formula unit) = -16.5
- energy of formation from the pure elements (eV per atom) = -0.36
- calculated density (g/cm3) = 6.12
- total moment (μB/f.u.) = 0.00

Unit cell a=5.1800 b=5.1800 c=5.1800 alpha=60.00 beta=60.00 gamma=60.00
Closest atoms and distances in Å follow each position.
Fractional coordinates of all 4 atoms:
Ga1 0.2500 0.2500 0.2500  4 Sc 3.17, 4 Ca 3.17
Sc1 0.5000 0.5000 0.5000  4 Pb 3.17, 4 Ga 3.17
Pb1 0.7500 0.7500 0.7500  4 Ca 3.17, 4 Sc 3.17
Ca1 0.0000 0.0000 0.0000  4 Pb 3.17, 4 Ga 3.17

***

Computed, not measured: crystalline ZrCuS2I at its relaxed geometry at the PBE level of DFT.

## Properties
- E_tot (eV per formula unit) = -23.6
- uncorrected formation energy (meV per atom) = -220
- calculated density (g/cm3) = 3.96
- total moment (μB/f.u.) = 0.00

Unit cell a=4.8792 b=6.0840 c=4.8792 alpha=90.00 beta=90.00 gamma=90.00
Closest atoms and distances in Å follow each position.
Fractional coordinates of all 5 atoms:
S1 0.0000 0.0000 0.5000  2 Zr 2.44
S2 0.5000 0.0000 0.0000  2 Zr 2.44
Zr1 0.0000 0.0000 0.0000  4 S 2.44
Cu1 0.5000 0.5000 0.5000  4 I 3.45
I1 0.0000 0.5000 0.0000  2 Zr 3.04

***

Computed, not measured: crystalline TlCoSeBr2 at its relaxed geometry at the PBE level of DFT.

## Properties
- E_tot (eV per formula unit) = -12.8
- uncorrected formation energy (meV per atom) = 702
- energy above the lowest structure with this stoichiometry (meV per atom) = 909
- calculated density (g/cm3) = 4.93
- total moment (μB/f.u.) = 2.46

Unit cell a=5.5702 b=5.5702 c=5.4517 alpha=90.00 beta=90.00 gamma=90.00
Closest atoms and distances in Å follow each position.
Fractional coordinates of all 5 atoms:
Se1 0.0000 0.0000 0.5000  2 Tl 2.73
Co1 0.5000 0.5000 0.5000  8 Br 3.90, 4 Se 3.94
Br1 0.0000 0.5000 0.0000  2 Tl 2.79
Br2 0.5000 0.0000 0.0000  2 Tl 2.79
Tl1 0.0000 0.0000 0.0000  2 Se 2.73, 4 Br 2.79